A plane-wave DFT calculation with GGA-PBE was carried out for a relaxed Pr2Si2O7 crystal.

Properties
total magnetization = 0.001 μB per formula unit
raw total energy = -358.46 eV/cell

Cell lengths 6.7594, 6.8261, 12.2991 Å; angles 93.85, 90.15, 90.97 degrees
Space group P-1 (No. 2)
One atom of each set of equivalent atoms:
Pr  0.0540  0.3269  0.1190 (multiplicity 2)
Pr  0.1203  0.0796  0.3617 (multiplicity 2)
Pr  0.3441  0.8247  0.1032 (multiplicity 2)
Pr  0.3605  0.2564  0.6268 (multiplicity 2)
Si  0.1514  0.1565  0.8827 (multiplicity 2)
Si  0.1513  0.6210  0.3901 (multiplicity 2)
Si  0.3715  0.7419  0.5979 (multiplicity 2)
Si  0.4877  0.6768  0.8251 (multiplicity 2)
O  0.0018  0.9973  0.8181 (multiplicity 2)
O  0.0041  0.6663  0.0798 (multiplicity 2)
O  0.0249  0.2344  0.5630 (multiplicity 2)
O  0.0753  0.4221  0.3236 (multiplicity 2)
O  0.2272  0.9222  0.6197 (multiplicity 2)
O  0.2487  0.0979  0.9973 (multiplicity 2)
O  0.2923  0.7652  0.3193 (multiplicity 2)
O  0.2933  0.5749  0.4995 (multiplicity 2)
O  0.3051  0.7202  0.9070 (multiplicity 2)
O  0.3347  0.2240  0.8093 (multiplicity 2)
O  0.3671  0.4856  0.1298 (multiplicity 2)
O  0.3726  0.1385  0.2090 (multiplicity 2)
O  0.3903  0.5975  0.7007 (multiplicity 2)
O  0.4211  0.1705  0.4429 (multiplicity 2)